The following is a GGA-PBE calculation of crystalline MgHg4Sb at its relaxed geometry, from the Alexandria database.

Output
Formation energy from raw total energies: 202 meV per atom
Total energy: -0.95 eV/atom
M_tot: 0.00 μB per formula unit

Cell and atoms, written as CIF:
```
data_MgHg4Sb
_chemical_formula_sum 'Mg4 Hg16 Sb4'
_space_group_name_H-M_alt 'F -4 3 m'
_space_group_IT_number 216
_space_group_name_Hall 'F -4 2 3'
_cell_length_a 8.547
_cell_length_b 8.547
_cell_length_c 8.547
_cell_angle_alpha 90.00
_cell_angle_beta 90.00
_cell_angle_gamma 90.00
loop_
_atom_site_label
_atom_site_type_symbol
_atom_site_fract_x
_atom_site_fract_y
_atom_site_fract_z
_atom_site_occupancy
Mg1 Mg 0.000 0.000 0.000 1
Hg1 Hg 0.125 0.125 0.375 1
Sb1 Sb 0.250 0.250 0.750 1
```